No. 1
Here is an optimized crystal structure of Ho5Ga2Si from Alexandria. Energies are from PBE.

Values from the calculation:
* calculated volume: 24.64 Å³/atom
* total magnetic moment: 0.00 μB/f.u.
* raw total energy: -38.6 eV/f.u.
* SG: I4/mcm (140)
* E_form (uncorrected): -0.53 eV/atom

POSCAR file:
```
Ho5Ga2Si
1.0
-4.915 4.606 3.591
-2.926 -6.004 3.697
8.401 1.589 1.347
Ga Ho Si
4 10 2
Direct
0.375 0.875 0.000
0.125 0.375 0.000
0.625 0.125 0.000
0.875 0.625 0.000
0.000 0.000 0.000
0.317 0.817 0.298
0.683 0.183 0.702
0.482 0.317 0.298
0.982 0.482 0.298
0.518 0.683 0.702
0.500 0.500 0.000
0.183 0.018 0.702
0.018 0.518 0.702
0.817 0.982 0.298
0.250 0.250 0.500
0.750 0.750 0.500
```



No. 2
Here is an optimized crystal structure of CaLaSc from Alexandria. Energies are from PBE.

Values from the calculation:
* calculated volume: 33.21 Å³/atom
* total magnetic moment: 0.00 μB/f.u.
* energy relative to the lowest polymorph listed for this composition: 0.043 eV/atom
* raw total energy: -12.8 eV/f.u.
* SG: C2 (5)
* formation energy from the elements: 0.156 eV/atom

POSCAR file:
```
CaLaSc
1.0
6.265 -0.008 -0.007
-3.062 5.460 0.006
3.067 -1.797 5.824
Ca La Sc
2 2 2
Direct
0.996 0.838 0.075
0.321 0.513 0.122
0.146 0.305 0.609
0.788 0.662 0.588
0.645 0.162 0.098
0.504 0.021 0.598
```



No. 3
Here is an optimized crystal structure of BaErMg2Pb4 from Alexandria. Energies are from PBE.

Values from the calculation:
* calculated volume: 31.17 Å³/atom
* total magnetic moment: 0.00 μB/f.u.
* raw total energy: -26.6 eV/f.u.
* SG: R-3m (166)
* formation energy from the elements: -0.261 eV/atom

POSCAR file:
```
BaErMg2Pb4
1.0
5.206 0.000 0.000
2.603 4.508 0.000
2.603 1.503 10.625
Pb Er Ba Mg
4 1 1 2
Direct
0.131 0.131 0.606
0.398 0.398 0.807
0.602 0.602 0.193
0.869 0.869 0.394
0.500 0.500 0.500
0.000 0.000 0.000
0.241 0.241 0.277
0.759 0.759 0.723
```



No. 4
Here is an optimized crystal structure of Be3WC from Alexandria. Energies are from PBE.

Values from the calculation:
* calculated volume: 16.25 Å³/atom
* total magnetic moment: 0.00 μB/f.u.
* energy relative to the lowest polymorph listed for this composition: 2.018 eV/atom
* raw total energy: -19.5 eV/f.u.
* SG: Pm-3m (221)
* formation energy from the elements: 2.779 eV/atom

POSCAR file:
```
Be3WC
1.0
-3.544 2.475 -0.266
-0.591 -0.388 4.273
2.418 3.533 0.655
C W Be
1 1 3
Direct
0.500 0.500 0.500
0.000 0.000 0.000
0.000 0.500 0.000
0.000 0.000 0.500
0.500 0.000 0.000
```



No. 5
Here is an optimized crystal structure of CeThScIn from Alexandria. Energies are from PBE.

Values from the calculation:
* calculated volume: 26.93 Å³/atom
* total magnetic moment: 0.00 μB/f.u.
* energy relative to the lowest polymorph listed for this composition: 0.141 eV/atom
* raw total energy: -22.6 eV/f.u.
* SG: F-43m (216)
* formation energy from the elements: -0.056 eV/atom

POSCAR file:
```
CeThScIn
1.0
-0.294 -4.880 -2.150
-1.583 -4.139 2.980
-4.764 -2.251 -0.872
Ce In Sc Th
1 1 1 1
Direct
0.500 0.500 0.500
0.750 0.750 0.750
0.000 0.000 0.000
0.250 0.250 0.250
```



No. 6
Here is an optimized crystal structure of BaNaCaPd from Alexandria. Energies are from PBE.

Values from the calculation:
* calculated volume: 31.75 Å³/atom
* total magnetic moment: 0.00 μB/f.u.
* raw total energy: -11.1 eV/f.u.
* SG: F-43m (216)
* formation energy from the elements: -0.167 eV/atom

POSCAR file:
```
BaNaCaPd
1.0
-3.547 -4.322 0.754
1.612 -5.239 -1.337
0.981 -3.777 4.075
Pd Ba Na Ca
1 1 1 1
Direct
0.500 0.500 0.500
0.750 0.750 0.750
0.000 0.000 0.000
0.250 0.250 0.250
```



No. 7
Here is an optimized crystal structure of MoRuW2 from Alexandria. Energies are from PBE.

Values from the calculation:
* calculated volume: 15.60 Å³/atom
* total magnetic moment: 0.00 μB/f.u.
* energy relative to the lowest polymorph listed for this composition: 0.024 eV/atom
* raw total energy: -45.5 eV/f.u.
* SG: P4/mmm (123)
* formation energy from the elements: 0.137 eV/atom

POSCAR file:
```
MoRuW2
1.0
3.154 0.000 0.000
0.000 3.154 0.000
0.000 0.000 6.275
Ru W Mo
1 2 1
Direct
0.500 0.500 0.750
0.000 0.000 0.006
0.000 0.000 0.494
0.500 0.500 0.250
```



No. 8
Here is an optimized crystal structure of BeVW from Alexandria. Energies are from PBE.

Values from the calculation:
* calculated volume: 12.93 Å³/atom
* total magnetic moment: 0.00 μB/f.u.
* energy relative to the lowest polymorph listed for this composition: 0.000 eV/atom
* raw total energy: -25.5 eV/f.u.
* SG: I4mm (107)
* formation energy from the elements: 0.106 eV/atom

POSCAR file:
```
BeVW
1.0
2.615 0.000 0.000
0.000 2.615 0.000
-1.308 -1.308 5.672
Be V W
1 1 1
Direct
0.953 0.953 0.905
0.599 0.599 0.197
0.299 0.299 0.598
```



No. 9
Here is an optimized crystal structure of GaSnAu from Alexandria. Energies are from PBE.

Values from the calculation:
* calculated volume: 22.13 Å³/atom
* total magnetic moment: 0.00 μB/f.u.
* raw total energy: -10.7 eV/f.u.
* SG: Aem2 (39)
* formation energy from the elements: -0.136 eV/atom

POSCAR file:
```
GaSnAu
1.0
4.419 -0.149 -0.003
-1.303 4.220 0.001
0.006 -0.001 7.196
Au Sn Ga
2 2 2
Direct
0.154 0.751 0.605
0.654 0.251 0.136
0.291 0.614 0.000
0.791 0.114 0.741
0.995 0.909 0.268
0.495 0.409 0.473
```



No. 10
Here is an optimized crystal structure of CePr2Zn from Alexandria. Energies are from PBE.

Values from the calculation:
* calculated volume: 28.93 Å³/atom
* total magnetic moment: 0.55 μB/f.u.
* energy relative to the lowest polymorph listed for this composition: 0.000 eV/atom
* raw total energy: -17.1 eV/f.u.
* SG: P4/mmm (123)
* formation energy from the elements: -0.094 eV/atom

POSCAR file:
```
CePr2Zn
1.0
3.658 0.000 0.000
0.000 3.658 0.000
0.000 0.000 8.647
Pr Ce Zn
2 1 1
Direct
0.000 0.000 0.218
0.000 0.000 0.782
0.500 0.500 0.500
0.500 0.500 0.000
```



No. 11
Here is an optimized crystal structure of Pm4Nd10Y from Alexandria. Energies are from PBE.

Values from the calculation:
* calculated volume: 38.16 Å³/atom
* total magnetic moment: 0.00 μB/f.u.
* raw total energy: -65.3 eV/f.u.
* SG: I4/m (87)
* formation energy from the elements: 0.524 eV/atom

POSCAR file:
```
Pm4Nd10Y
1.0
-3.351 5.772 1.507
-9.619 -1.231 -1.143
-2.368 0.209 9.471
Nd Pm Y
10 4 1
Direct
0.537 0.837 0.581
0.463 0.163 0.419
0.250 0.500 0.500
0.955 0.163 0.419
0.750 0.500 0.500
0.374 0.581 0.163
0.117 0.419 0.837
0.626 0.419 0.837
0.045 0.837 0.581
0.883 0.581 0.163
0.434 0.891 0.241
0.325 0.241 0.109
0.675 0.759 0.891
0.566 0.109 0.759
0.000 0.000 0.000
```



No. 12
Here is an optimized crystal structure of Li3In2Hg4Au2 from Alexandria. Energies are from PBE.

Values from the calculation:
* calculated volume: 22.45 Å³/atom
* total magnetic moment: 0.00 μB/f.u.
* raw total energy: -21.3 eV/f.u.
* SG: P-3m1 (164)
* formation energy from the elements: -0.212 eV/atom

POSCAR file:
```
Li3In2Hg4Au2
1.0
4.881 0.000 0.000
-2.441 4.227 0.000
0.000 0.000 11.966
Li Hg Au In
3 4 2 2
Direct
0.000 0.000 0.000
0.000 0.000 0.759
0.000 0.000 0.241
0.667 0.333 0.129
0.333 0.667 0.349
0.333 0.667 0.871
0.667 0.333 0.651
0.333 0.667 0.114
0.667 0.333 0.886
0.667 0.333 0.400
0.333 0.667 0.600
```